No. 1
8
Lattice="5.038 0.000 0.000 0.000 5.038 0.000 2.519 2.519 6.024" Properties=species:S:1:pos:R:3 comment="CaIN2 | Alexandria via LeMat-Bulk | PBE | optimized geometry" total_magnetization_mub_per_fu=0.000 polymorph_energy_ev_per_atom=0.1177 e_form_raw_ev_per_atom=0.707 pbc="T T T"
I 0.000 0.000 0.000
I 5.038 2.519 3.012
Ca 2.519 2.519 0.000
Ca 2.519 5.038 3.012
N 3.956 1.260 1.506
N 1.082 3.779 1.506
N 3.779 3.601 4.518
N 6.298 6.476 4.518


No. 2
11
Lattice="-4.307 1.323 -1.690 -2.130 -2.163 3.734 4.154 14.743 7.810" Properties=species:S:1:pos:R:3 comment="Nd2Sm6Y3 | Alexandria via LeMat-Bulk | PBE | optimized geometry" formation_enthalpy_0k_kcal_per_mol_atoms=6.193 total_magnetization_mub_per_fu=0.000 polymorph_energy_ev_per_atom=0.0964 pbc="T T T"
Nd 0.850 13.015 8.025
Nd -3.133 0.889 1.829
Sm -0.839 2.381 4.002
Sm -1.927 4.124 1.290
Sm -1.444 11.523 5.852
Sm -0.356 9.780 8.564
Sm -2.854 5.161 4.462
Sm 0.571 8.743 5.391
Y 0.000 0.000 0.000
Y -2.661 8.112 6.282
Y 0.378 5.792 3.571


No. 3
4
Lattice="2.788 0.000 0.000 0.000 2.788 0.000 0.000 0.000 9.020" Properties=species:S:1:pos:R:3 comment="LaBeW2 | Alexandria via LeMat-Bulk | PBE | optimized geometry" formation_enthalpy_0k_kcal_per_mol_atoms=13.454 total_magnetization_mub_per_fu=0.000 pbc="T T T"
Be 0.000 0.000 4.137
W 0.000 0.000 0.296
W 1.394 1.394 2.553
La 1.394 1.394 6.543


No. 4
10
Lattice="6.679 0.000 0.000 0.000 7.792 1.481 0.000 -1.183 6.221" Properties=species:S:1:pos:R:3 comment="PrNd2SmSc | Alexandria via LeMat-Bulk | PBE | optimized geometry" formation_enthalpy_0k_kcal_per_mol_atoms=4.249 total_magnetization_mub_per_fu=0.000 pbc="T T T"
Pr 2.074 3.009 5.406
Pr 4.605 3.600 2.296
Nd 5.264 4.613 5.712
Nd 5.264 1.405 5.101
Nd 1.415 5.204 2.601
Nd 1.415 1.997 1.991
Sm 3.942 -0.296 1.555
Sm 2.737 -0.887 4.666
Sc 0.000 0.000 0.000
Sc 0.000 -0.591 3.110


No. 5
4
Lattice="5.250 0.000 0.000 2.625 4.547 0.000 2.625 1.516 4.287" Properties=species:S:1:pos:R:3 comment="EuTmTlCu | Alexandria via LeMat-Bulk | PBE | optimized geometry" formation_enthalpy_0k_kcal_per_mol_atoms=-4.320 total_magnetization_mub_per_fu=6.819 pbc="T T T"
Eu 0.000 0.000 0.000
Tl 7.876 4.547 3.215
Tm 5.250 3.031 2.143
Cu 2.625 1.516 1.072


No. 6
14
Lattice="5.566 0.000 0.000 -2.783 4.820 0.000 0.000 0.000 7.368" Properties=species:S:1:pos:R:3 comment="Sr3Cu2TcO8 | Alexandria via LeMat-Bulk | PBE | optimized geometry" total_magnetization_mub_per_fu=0.982 e_form_raw_ev_per_atom=-1.673 pbc="T T T"
Sr 0.000 3.214 4.709
Sr 2.783 1.607 2.659
Sr 0.000 0.000 0.000
Cu 0.000 3.214 1.418
Cu 2.783 1.607 5.951
Tc 0.000 0.000 3.684
O 0.000 3.214 6.989
O 2.783 1.607 0.380
O -1.441 4.045 2.548
O 4.224 0.775 4.820
O 0.000 1.550 2.548
O 2.783 3.270 4.820
O 1.441 4.045 2.548
O 1.342 0.775 4.820


No. 7
14
Lattice="5.853 0.000 0.088 0.000 5.747 0.000 -2.184 0.000 7.398" Properties=species:S:1:pos:R:3 comment="RbPrSiO4 | Alexandria via LeMat-Bulk | PBE | optimized geometry" total_magnetization_mub_per_fu=0.000 e_form_raw_ev_per_atom=-2.827 pbc="T T T"
Rb 2.055 4.310 6.916
Rb 1.614 1.437 0.570
Pr 3.546 4.310 3.403
Pr 0.124 1.437 4.083
Si 0.661 4.310 2.503
Si 3.008 1.437 4.983
O 4.031 2.733 5.155
O -0.361 5.606 2.331
O -0.361 3.014 2.331
O 4.031 0.140 5.155
O 1.987 4.310 1.544
O 1.682 1.437 5.942
O 1.200 4.310 4.074
O 2.469 1.437 3.412


No. 8
20
Lattice="3.015 0.000 0.000 0.000 9.939 0.000 0.000 0.000 9.939" Properties=species:S:1:pos:R:3 comment="Ti5Fe2CuRh2 | Alexandria via LeMat-Bulk | PBE | optimized geometry" formation_enthalpy_0k_kcal_per_mol_atoms=-4.382 total_magnetization_mub_per_fu=0.001 pbc="T T T"
Ti 1.507 1.917 0.978
Ti 1.507 8.022 8.962
Ti 1.507 0.978 8.022
Ti 1.507 6.887 3.992
Ti 1.507 8.962 1.917
Ti 1.507 3.052 5.947
Ti 1.507 5.947 6.887
Ti 1.507 3.992 3.052
Ti 1.507 4.970 0.000
Ti 1.507 0.000 4.970
Fe 0.000 1.300 6.270
Fe 0.000 8.639 3.670
Fe 0.000 6.270 8.639
Fe 0.000 3.670 1.300
Cu 0.000 0.000 0.000
Cu 0.000 4.970 4.970
Rh 0.000 6.626 1.657
Rh 0.000 3.313 8.282
Rh 0.000 1.657 3.313
Rh 0.000 8.282 6.626